1.
HfGaTeRh2 | PBE | relaxed

Geometry as POSCAR:
```
HfGaTeRh2
1.0
-1.3513 -3.1170 3.4602
1.3636 -4.2352 -3.2826
4.5009 0.0511 1.8038
Rh Te Hf Ga
2 1 1 1
direct
0.0000 0.0000 0.5000
0.5000 0.0000 0.0000
0.0000 0.5000 0.0000
0.0000 0.0000 0.0000
0.5000 0.5000 0.5000
```

Results
Crystal system ... tetragonal
ρ ... 7.4 g/cm³
ΔE_f (raw) ... 0.5840 eV per atom

=====

2.
Th2Ge3Ir4Au | PBE | relaxed

Geometry as POSCAR:
```
Th2Ge3Ir4Au
1.0
4.1186 0.0000 0.0000
0.0000 4.1186 0.0000
0.0000 0.0000 11.3668
Th Ge Ir Au
2 3 4 1
direct
0.5000 0.0000 0.2537
0.0000 0.5000 0.7463
0.0000 0.0000 0.5000
0.5000 0.0000 0.8798
0.0000 0.5000 0.1202
0.5000 0.5000 0.0000
0.0000 0.0000 0.0000
0.5000 0.0000 0.6679
0.0000 0.5000 0.3321
0.5000 0.5000 0.5000
```

Results
Crystal system ... tetragonal
ρ ... 14.2 g/cm³
Formation enthalpy at 0 K ... -7.0 eV/f.u.

=====

3.
Zr4MnTc | PBE | relaxed

Geometry as POSCAR:
```
Zr4MnTc
1.0
-2.8753 -4.8049 0.3420
-2.4694 -1.4539 4.8228
-5.5925 0.1023 0.4301
Zr Mn Tc
4 1 1
direct
0.3742 0.8774 0.3742
0.8774 0.3742 0.3742
0.3742 0.3742 0.8774
0.3742 0.3742 0.3742
0.7500 0.7500 0.7500
0.0000 0.0000 0.0000
```

Results
Crystal system ... cubic
ρ ... 6.9 g/cm³
Polymorph energy (0 for the lowest one) ... 790.0 meV per atom
Formation enthalpy at 0 K ... 4.0 eV/f.u.

=====

4.
NaSc3In | PBE | relaxed

Geometry as POSCAR:
```
NaSc3In
1.0
-5.3681 0.2532 -1.1444
-1.0858 -3.0944 4.4086
-0.4414 4.5333 3.0732
Sc Na In
3 1 1
direct
0.0000 0.5000 0.0000
0.0000 0.0000 0.5000
0.5000 0.0000 0.0000
0.5000 0.5000 0.5000
0.0000 0.0000 0.0000
```

Results
Crystal system ... cubic
ρ ... 2.7 g/cm³
Polymorph energy (0 for the lowest one) ... 0.0 meV per atom
Formation enthalpy at 0 K ... 2.5 eV/f.u.

=====

5.
KSmCd2Br8 | PBE | relaxed

Geometry as POSCAR:
```
KSmCd2Br8
1.0
7.0133 0.0097 0.0117
0.0661 6.6111 0.0153
0.0283 0.0397 8.7702
K Sm Cd Br
1 1 2 8
direct
0.0000 0.0000 0.5000
0.0000 0.0000 0.0000
0.4988 0.4980 0.7462
0.5012 0.5020 0.2538
0.1688 0.7445 0.2262
0.6607 0.7355 0.0002
0.8295 0.2532 0.2251
0.8312 0.2555 0.7738
0.3393 0.2645 0.9998
0.1705 0.7468 0.7749
0.6223 0.7329 0.5002
0.3777 0.2671 0.4998
```

Results
Crystal system ... triclinic
ρ ... 4.3 g/cm³
ΔE_f (raw) ... -1.2805 eV per atom

=====

6.
Na5Tl6Sn2 | PBE | relaxed

Geometry as POSCAR:
```
Na5Tl6Sn2
1.0
-2.7839 -1.9331 -0.5721
1.1700 -4.6036 9.8616
-11.6910 14.4321 8.1244
Na Tl Sn
10 12 4
direct
0.5000 0.4492 0.4195
0.5000 0.5508 0.5805
0.5000 0.9492 0.0805
0.5000 0.0508 0.9195
0.5000 0.6385 0.2713
0.5000 0.3615 0.7287
0.5000 0.1385 0.2287
0.5000 0.8615 0.7713
0.5000 0.5000 0.0000
0.5000 0.0000 0.5000
0.0000 0.1698 0.3888
0.0000 0.8302 0.6112
0.0000 0.6698 0.1112
0.0000 0.3302 0.8888
0.5000 0.4065 0.1485
0.5000 0.5935 0.8515
0.5000 0.9065 0.3515
0.5000 0.0935 0.6485
0.0000 0.7162 0.4560
0.0000 0.2838 0.5440
0.0000 0.2162 0.0440
0.0000 0.7838 0.9560
0.0000 0.3805 0.2850
0.0000 0.6195 0.7150
0.0000 0.8805 0.2150
0.0000 0.1195 0.7850
```

Results
Crystal system ... orthorhombic
ρ ... 6.9 g/cm³
Formation enthalpy at 0 K ... -1.2 eV/f.u.

=====

7.
Be2FeIrBr | PBE | relaxed

Geometry as POSCAR:
```
Be2FeIrBr
1.0
-2.9558 -2.7713 -0.9099
2.5497 -1.6417 -3.2825
1.7013 -2.6903 2.6670
Be Ir Fe Br
2 1 1 1
direct
0.0000 0.0000 0.5000
0.5000 0.0000 0.0000
0.0000 0.5000 0.0000
0.0000 0.0000 0.0000
0.5000 0.5000 0.5000
```

Results
Crystal system ... tetragonal
ρ ... 7.5 g/cm³
ΔE_f (raw) ... 1.0078 eV per atom

=====

8.
HgBiI2Br | PBE | relaxed

Geometry as POSCAR:
```
HgBiI2Br
1.0
6.0323 0.0000 0.0000
0.0000 6.1175 0.0000
0.0000 0.0000 6.0323
I Bi Br Hg
2 1 1 1
direct
0.0000 0.0000 0.5000
0.5000 0.0000 0.0000
0.0000 0.0000 0.0000
0.5000 0.5000 0.5000
0.0000 0.5000 0.0000
```

Results
Crystal system ... tetragonal
ρ ... 5.5 g/cm³
Polymorph energy (0 for the lowest one) ... 267.6 meV per atom
ΔE_f (raw) ... -0.0147 eV per atom

=====

9.
Pm3S2O | PBE | relaxed

Geometry as POSCAR:
```
Pm3S2O
1.0
-1.0396 5.3770 0.9058
-3.0339 -1.7687 7.0169
7.6629 1.5811 -0.5912
Pm S O
6 4 2
direct
0.9930 0.8619 0.5503
0.4930 0.4497 0.1381
0.9930 0.5503 0.8619
0.4930 0.1381 0.4497
0.4929 0.8729 0.8729
0.9929 0.1271 0.1271
0.4930 0.8059 0.4929
0.9930 0.5071 0.1941
0.4930 0.4929 0.8059
0.9930 0.1941 0.5071
0.9930 0.8354 0.8354
0.4930 0.1646 0.1646
```

Results
Crystal system ... orthorhombic
ρ ... 5.7 g/cm³
Polymorph energy (0 for the lowest one) ... 38.1 meV per atom
ΔE_f (raw) ... -2.0469 eV per atom

=====

10.
V2ReGe | PBE | relaxed

Geometry as POSCAR:
```
V2ReGe
1.0
3.7967 0.0000 0.0000
0.0000 3.8365 0.0000
0.0000 0.0000 3.8365
Re Ge V
1 1 2
direct
0.5000 0.5000 0.5000
0.5000 0.0000 0.0000
0.0000 0.0000 0.5000
0.0000 0.5000 0.0000
```

Results
Crystal system ... tetragonal
ρ ... 10.7 g/cm³
Formation enthalpy at 0 K ... -0.5 eV/f.u.

=====

11.
Hf2GaSnSe | PBE | relaxed

Geometry as POSCAR:
```
Hf2GaSnSe
1.0
-4.1498 1.7908 2.1226
0.7852 -2.8057 3.9022
2.6578 3.6674 2.1021
Ga Hf Sn Se
1 2 1 1
direct
0.0000 0.5000 0.0000
0.0000 0.0000 0.5000
0.5000 0.0000 0.0000
0.5000 0.5000 0.5000
0.0000 0.0000 0.0000
```

Results
Crystal system ... tetragonal
ρ ... 8.5 g/cm³
ΔE_f (raw) ... 0.2753 eV per atom

=====

12.
La2Tb2Pm5 | PBE | relaxed

Geometry as POSCAR:
```
La2Tb2Pm5
1.0
12.0696 0.0000 0.0000
0.0000 6.8849 0.0000
-6.0348 -3.4425 7.5537
La Tb Pm
4 4 10
direct
0.1296 0.6876 0.2522
0.8704 0.4354 0.7478
0.6226 0.1876 0.2522
0.3774 0.9354 0.7478
0.0000 0.0283 0.0000
0.5000 0.5283 0.0000
0.2572 0.3478 0.5000
0.7428 0.8478 0.5000
0.1979 0.6540 0.8935
0.8021 0.7606 0.1065
0.1956 0.1540 0.8935
0.8044 0.2606 0.1065
0.3766 0.0233 0.2863
0.6234 0.7370 0.7137
0.4097 0.5233 0.2863
0.5903 0.2370 0.7137
0.0106 0.6621 0.5000
0.9894 0.1621 0.5000
```

Results
Crystal system ... orthorhombic
ρ ... 7.0 g/cm³
Polymorph energy (0 for the lowest one) ... 167.8 meV per atom
Formation enthalpy at 0 K ... 1.7 eV/f.u.